This record from Alexandria via LeMat-Bulk describes a relaxed InGaGePb crystal. The functional is PBE.

Properties
The value obtained for the formation energy is 188 meV/atom. As for the total magnetization: 0.000 μB/f.u.

The structure in CIF format:
```
data_InGaGePb
_chemical_formula_sum 'In1 Ga1 Ge1 Pb1'
_space_group_name_H-M_alt 'P 1'
_space_group_IT_number 1
_cell_length_a 5.1978
_cell_length_b 5.1978
_cell_length_c 5.1978
_cell_angle_alpha 60.00
_cell_angle_beta 60.00
_cell_angle_gamma 60.00
loop_
_space_group_symop_operation_xyz
'x,y,z'
loop_
_atom_site_label
_atom_site_fract_x
_atom_site_fract_y
_atom_site_fract_z
Pb1 0.0000 0.0000 0.0000
Ge1 0.2500 0.2500 0.2500
Ga1 0.7500 0.7500 0.7500
In1 0.5000 0.5000 0.5000
```